RbVPO5: relaxed, PBEsol.

Cell and atoms, written as extended XYZ:
```
32
Lattice="7.5817 0.0000 0.0000 0.0000 7.9022 0.0000 0.0000 0.0000 8.3510" Properties=species:S:1:pos:R:3 pbc="T T T"
O 1.7570 6.5612 1.9247
O 5.8248 2.6101 2.2508
Rb 2.8909 4.3093 6.0944
O 0.4489 2.8425 4.7082
Rb 4.6909 0.3582 6.4321
O 7.4078 0.5466 5.6719
O 1.4211 0.8213 3.6576
O 3.3419 5.0597 0.5327
P 0.9348 1.4194 4.9962
P 4.7257 2.5317 3.3548
O 4.3080 2.6066 8.1780
V 2.9397 7.6002 3.1758
O 3.2738 6.5577 4.3485
O 6.1606 4.7724 0.5179
Rb 6.6817 7.5440 2.2566
O 7.0646 5.2956 4.0025
O 5.2120 3.1298 4.6934
O 5.5478 5.2921 6.4263
P 6.6470 5.3705 7.5303
O 2.3697 7.0809 7.8331
O 3.9648 7.3556 1.4964
O 0.5171 1.3445 0.1730
V 6.7305 4.2531 5.1752
V 4.6421 3.6491 0.9997
O 2.0339 1.3410 6.1002
O 0.1740 4.4977 6.8546
V 0.8512 0.3020 7.3513
Rb 0.9000 3.5929 1.9189
O 7.1328 6.7936 7.8183
O 4.2398 1.1086 3.6428
O 3.6169 3.4045 2.6791
P 2.8561 6.4828 0.8207
```

The space group is P2_12_12_1, No. 19. As for the final energy: -7.663 eV per atom. As for the formation energy (no corrections): -2.33 eV per atom.